An optimized crystal structure of ZrHgW2. Source: Alexandria, functional PBE.

The calculation puts the magnetic moment at 0.00 μB per atom. The calculation puts the total energy at -33.158 eV for the cell shown. The energy of formation is 400 meV/atom. Its crystal system is tetragonal.

The space group is P4/mmm (No. 123) and the conventional cell measures 4.024, 4.024 and 4.534 Å, with angles of 90.00, 90.00 and 90.00 degrees. Symmetry generates all atoms from Zr at (0.000, 0.000, 0.000), Hg at (0.500, 0.500, 0.000) and W at (0.000, 0.500, 0.500).